DFT (GGA-PBE) results for La2Dy8Y after structural relaxation.

Cell lengths 5.9384, 7.6943, 9.2574 Å; angles 111.97, 105.49, 97.43 degrees
Atoms (fractional coordinates):
Dy1 0.1533 0.3273 0.2293
Dy2 0.8467 0.6727 0.7707
Dy3 0.2752 0.5721 0.0000
Dy4 0.9240 0.0980 0.7707
Dy5 0.7248 0.4279 0.0000
Dy6 0.2928 0.7928 0.5856
Dy7 0.0760 0.9020 0.2293
Dy8 0.7072 0.2072 0.4144
La1 0.6940 0.6939 0.3879
La2 0.3060 0.3061 0.6121
Y1 0.5000 0.0000 0.0000

Properties
The space group is C2/m (12). The calculation puts the theoretical density at 7.57 g cm⁻³. For the energy relative to the elements, the calculation gives 0.155 eV/atom. As for the density of states at the Fermi level: 14.624 states/eV per cell.